# 1
Material: CaNi4Ir
Method: DFT, PBE
State: optimized geometry

Lattice parameters (Å, degrees): 4.8725 4.8725 4.8725 60.00 60.00 60.00
Positions (direct):
Ca 0.0000 0.0000 0.0000
Ni 0.3758 0.3758 0.3758
Ni 0.3758 0.3758 0.8726
Ni 0.3758 0.8726 0.3758
Ni 0.8726 0.3758 0.3758
Ir 0.7500 0.7500 0.7500

* SG: F-43m, No. 216
* crystal system: cubic

# 2
Material: CaNi2Ir
Method: DFT, PBE
State: optimized geometry

Lattice parameters (Å, degrees): 2.7832 4.5481 9.4517 90.00 90.00 90.00
Positions (direct):
Ca 0.0000 0.0000 0.0000
Ca 0.5000 0.5000 0.5000
Ni 0.0000 0.0000 0.4915
Ni 0.0000 0.5000 0.7729
Ni 0.5000 0.0000 0.2729
Ni 0.5000 0.5000 0.9915
Ir 0.0000 0.5000 0.2188
Ir 0.5000 0.0000 0.7188

* SG: Imm2, No. 44
* crystal system: orthorhombic

| no. | DFT formation energy (eV/atom) | calculated volume (Å³ per atom) | ρ (g cm⁻³) |
| --- | --- | --- | --- |
| 1 | 0.04 | 13.63 | 9.482 |
| 2 | 0.11 | 14.96 | 9.707 |